1.
{"formula": "Li2CePdO4", "functional": "GGA-PBE", "state": "relaxed", "e_form_raw_mev_per_atom": -1837, "magnetic_moment_mub_per_fu": 0.00, "density_g_cm3": 5.46, "lattice": [[-0.210, -2.584, -4.348], [4.286, -0.772, 2.581], [-3.523, -1.422, 3.345]], "species": ["O", "O", "Ce", "Li", "Pd", "O", "Li", "O"], "frac_coords": [[0.513, 0.381, 0.381], [0.000, 0.619, 0.131], [0.000, 0.000, 0.000], [0.500, 0.250, 0.750], [0.000, 0.500, 0.500], [0.000, 0.131, 0.619], [0.500, 0.750, 0.250], [0.487, 0.869, 0.869]]}

2.
{"formula": "Pa2FeCo4Ge3", "functional": "GGA-PBE", "state": "relaxed", "magnetic_moment_mub_per_fu": 2.38, "density_g_cm3": 10.50, "delta_e_f_ev_per_atom": -0.470, "lattice": [[-2.106, -1.704, -2.847], [3.295, -0.673, -2.034], [0.998, -8.801, 4.529]], "species": ["Pa", "Ge", "Co", "Co", "Ge", "Co", "Pa", "Co", "Ge", "Fe"], "frac_coords": [[0.500, 0.000, 0.253], [0.500, 0.000, 0.869], [0.000, 0.500, 0.366], [0.500, 0.500, 0.000], [0.000, 0.500, 0.131], [0.000, 0.000, 0.000], [0.000, 0.500, 0.747], [0.500, 0.000, 0.634], [0.000, 0.000, 0.500], [0.500, 0.500, 0.500]]}

3.
{"formula": "Al2CdCu", "functional": "GGA-PBE", "state": "relaxed", "magnetic_moment_mub_per_fu": 0.00, "density_g_cm3": 5.70, "delta_e_f_ev_per_atom": 0.020, "lattice": [[2.867, 0.013, 0.000], [-0.012, 2.867, 0.000], [0.000, 0.000, 8.156]], "species": ["Cd", "Al", "Cu", "Al"], "frac_coords": [[0.000, 0.000, 0.524], [0.500, 0.500, 0.228], [0.500, 0.500, 0.775], [0.000, 0.000, 0.973]]}

4.
{"formula": "KOs2Au", "functional": "GGA-PBE", "state": "relaxed", "magnetic_moment_mub_per_fu": 0.00, "density_g_cm3": 13.98, "delta_e_f_ev_per_atom": 1.157, "relative_energy_mev_per_atom": 613.6, "lattice": [[2.692, 0.000, 0.000], [0.000, 2.692, 0.000], [0.000, 0.000, 10.102]], "species": ["K", "Au", "Os", "Os"], "frac_coords": [[0.500, 0.500, 0.750], [0.500, 0.500, 0.250], [0.000, 0.000, 0.033], [0.000, 0.000, 0.467]]}

5.
{"formula": "Dy4Ho3In4", "functional": "GGA-PBE", "state": "relaxed", "magnetic_moment_mub_per_fu": 0.00, "density_g_cm3": 8.32, "delta_e_f_ev_per_atom": -0.291, "lattice": [[3.621, 0.000, 0.000], [0.000, 9.424, 0.000], [-1.811, -4.712, 9.377]], "species": ["Dy", "Ho", "In", "Dy", "In", "In", "Ho", "Dy", "Ho", "Dy", "In"], "frac_coords": [[0.337, 0.151, 0.675], [0.096, 0.096, 0.193], [0.500, 0.781, 0.000], [0.663, 0.476, 0.325], [0.731, 0.231, 0.462], [0.269, 0.769, 0.538], [0.904, 0.904, 0.807], [0.663, 0.849, 0.325], [0.000, 0.500, 0.000], [0.337, 0.524, 0.675], [0.500, 0.219, 0.000]]}

6.
{"formula": "Na5Tl3Br12", "functional": "GGA-PBE", "state": "relaxed", "e_form_raw_mev_per_atom": -923, "magnetic_moment_mub_per_fu": 0.00, "density_g_cm3": 3.63, "lattice": [[-8.259, 9.553, -9.646], [-6.555, -14.475, 0.002], [-0.202, 5.908, 14.750]], "species": ["Na", "Na", "Tl", "Br", "Br", "Br", "Br", "Br", "Na", "Na", "Br", "Br", "Na", "Na", "Tl", "Na", "Na", "Tl", "Br", "Br", "Br", "Br", "Br", "Na", "Na", "Br", "Br", "Br", "Tl", "Br", "Br", "Br", "Br", "Br", "Br", "Br", "Br", "Tl", "Na", "Br", "Na", "Br", "Br", "Br", "Br", "Br", "Br", "Na", "Br", "Br", "Na", "Na", "Br", "Br", "Tl", "Na", "Br", "Tl", "Tl", "Tl", "Br", "Tl", "Br", "Br", "Br", "Br", "Tl", "Tl", "Na", "Br", "Na", "Br", "Na", "Na", "Br", "Br", "Br", "Br", "Br", "Br"], "frac_coords": [[0.500, 0.000, 0.000], [0.625, 0.750, 0.875], [0.875, 0.125, 0.250], [0.617, 0.451, 0.143], [0.451, 0.834, 0.308], [0.549, 0.383, 0.357], [0.049, 0.857, 0.883], [0.308, 0.974, 0.357], [0.000, 0.500, 0.500], [0.500, 0.500, 0.500], [0.192, 0.143, 0.526], [0.166, 0.549, 0.192], [0.125, 0.375, 0.250], [0.000, 0.000, 0.000], [0.750, 0.375, 0.125], [0.125, 0.750, 0.375], [0.000, 0.000, 0.500], [0.250, 0.125, 0.375], [0.334, 0.026, 0.883], [0.308, 0.334, 0.451], [0.883, 0.357, 0.049], [0.857, 0.808, 0.974], [0.357, 0.883, 0.549], [0.500, 0.000, 0.500], [0.375, 0.125, 0.750], [0.808, 0.857, 0.474], [0.474, 0.357, 0.808], [0.857, 0.049, 0.383], [0.750, 0.875, 0.625], [0.666, 0.692, 0.049], [0.143, 0.951, 0.617], [0.117, 0.474, 0.666], [0.617, 0.166, 0.974], [0.026, 0.334, 0.383], [0.166, 0.617, 0.474], [0.834, 0.383, 0.526], [0.117, 0.643, 0.951], [0.125, 0.875, 0.750], [0.875, 0.250, 0.625], [0.834, 0.451, 0.808], [0.000, 0.500, 0.000], [0.549, 0.166, 0.692], [0.334, 0.308, 0.951], [0.451, 0.617, 0.643], [0.192, 0.049, 0.166], [0.692, 0.026, 0.643], [0.357, 0.474, 0.308], [0.375, 0.250, 0.125], [0.143, 0.192, 0.026], [0.808, 0.951, 0.834], [0.750, 0.625, 0.375], [0.500, 0.500, 0.000], [0.974, 0.666, 0.617], [0.951, 0.143, 0.117], [0.125, 0.250, 0.875], [0.750, 0.125, 0.875], [0.643, 0.526, 0.692], [0.875, 0.750, 0.125], [0.375, 0.625, 0.250], [0.250, 0.625, 0.875], [0.643, 0.117, 0.451], [0.625, 0.250, 0.375], [0.474, 0.117, 0.166], [0.951, 0.808, 0.334], [0.526, 0.643, 0.192], [0.526, 0.883, 0.834], [0.625, 0.375, 0.750], [0.375, 0.750, 0.625], [0.250, 0.375, 0.625], [0.883, 0.526, 0.334], [0.875, 0.625, 0.750], [0.383, 0.834, 0.026], [0.625, 0.875, 0.250], [0.250, 0.875, 0.125], [0.974, 0.308, 0.857], [0.666, 0.974, 0.117], [0.026, 0.692, 0.143], [0.383, 0.549, 0.857], [0.049, 0.192, 0.666], [0.692, 0.666, 0.549]]}

7.
{"formula": "HoErHgRh", "functional": "GGA-PBE", "state": "relaxed", "magnetic_moment_mub_per_fu": 0.00, "density_g_cm3": 11.71, "delta_e_f_ev_per_atom": -0.718, "relative_energy_mev_per_atom": 0.0, "lattice": [[-1.982, 1.904, -2.130], [-2.824, -0.915, 1.810], [0.923, 5.922, 4.434]], "species": ["Hg", "Er", "Rh", "Ho"], "frac_coords": [[0.500, 0.500, 0.109], [0.000, 0.000, 0.387], [0.500, 0.500, 0.605], [0.000, 0.000, 0.827]]}

8.
{"formula": "BePRh2", "functional": "GGA-PBE", "state": "relaxed", "magnetic_moment_mub_per_fu": 0.00, "density_g_cm3": 8.26, "delta_e_f_ev_per_atom": -0.470, "relative_energy_mev_per_atom": 96.5, "lattice": [[3.027, 0.000, 0.000], [0.000, 3.027, 0.000], [0.000, 0.000, 5.393]], "species": ["Rh", "Be", "Rh", "P"], "frac_coords": [[0.000, 0.000, 0.942], [0.000, 0.000, 0.491], [0.500, 0.500, 0.320], [0.500, 0.500, 0.747]]}

9.
{"formula": "HoErScIr", "functional": "GGA-PBE", "state": "relaxed", "magnetic_moment_mub_per_fu": 0.41, "density_g_cm3": 10.66, "delta_e_f_ev_per_atom": -0.294, "lattice": [[5.005, 0.000, 0.000], [2.503, 4.335, 0.000], [2.503, 1.445, 4.087]], "species": ["Ir", "Sc", "Er", "Ho"], "frac_coords": [[0.750, 0.750, 0.750], [0.250, 0.250, 0.250], [0.500, 0.500, 0.500], [0.000, 0.000, 0.000]]}

10.
{"formula": "ZrZnRh2", "functional": "GGA-PBE", "state": "relaxed", "magnetic_moment_mub_per_fu": 0.00, "density_g_cm3": 9.18, "delta_e_f_ev_per_atom": -0.505, "lattice": [[-1.780, -1.089, 2.766], [1.549, -3.091, -0.219], [4.000, 1.773, 3.272]], "species": ["Zr", "Zn", "Rh", "Rh"], "frac_coords": [[0.500, 0.500, 0.764], [0.000, 0.000, 0.464], [0.000, 0.000, 0.977], [0.500, 0.500, 0.295]]}

11.
{"formula": "CeThGaPd", "functional": "GGA-PBE", "state": "relaxed", "magnetic_moment_mub_per_fu": 1.30, "density_g_cm3": 9.41, "delta_e_f_ev_per_atom": -0.464, "lattice": [[5.154, 0.000, 0.000], [2.577, 4.463, 0.000], [2.577, 1.488, 4.208]], "species": ["Pd", "Ga", "Th", "Ce"], "frac_coords": [[0.500, 0.500, 0.500], [0.000, 0.000, 0.000], [0.750, 0.750, 0.750], [0.250, 0.250, 0.250]]}

12.
{"formula": "NaTaMoIr2", "functional": "GGA-PBE", "state": "relaxed", "magnetic_moment_mub_per_fu": 0.00, "density_g_cm3": 11.23, "delta_e_f_ev_per_atom": 1.749, "lattice": [[4.693, 0.000, 0.000], [0.000, 4.595, 0.000], [0.000, 0.000, 4.693]], "species": ["Ir", "Ta", "Mo", "Na", "Ir"], "frac_coords": [[0.500, 0.000, 0.000], [0.500, 0.500, 0.500], [0.000, 0.000, 0.000], [0.000, 0.500, 0.000], [0.000, 0.000, 0.500]]}